La2GaNiO6: relaxed, GGA+U.

Output
Total energy: -6.9138 eV per atom
Size of the total moment: 0.99 μB per formula unit

Structure (extended XYZ):
```
10
Lattice="5.495 0.113 -0.006 2.742 4.920 -0.059 2.664 1.575 4.482" Properties=species:S:1:pos:R:3 pbc="T T T"
La 2.725 1.597 1.123
La 8.176 5.010 3.295
Ga 5.450 3.303 2.209
Ni 5.495 0.113 -0.006
O 6.999 3.754 1.126
O 6.576 2.319 3.574
O 5.666 5.101 3.115
O 4.326 4.288 0.843
O 5.235 1.506 1.302
O 3.902 2.853 3.292
```